No. 1
DFT (PBE) results for a geometry-optimized HfZrCl2 structure.

abc: 7.135 7.135 5.927
angles: 52.99 52.99 90.00
Fractional coordinates of all 8 atoms:
Hf 0.750 0.250 0.500
Hf 0.000 0.000 0.000
Cl 0.631 0.125 0.250
Cl 0.119 0.625 0.250
Cl 0.875 0.881 0.750
Cl 0.375 0.369 0.750
Zr 0.500 0.500 0.000
Zr 0.250 0.750 0.500

Uncorrected formation energy (eV/atom): -0.1535
Offset from the most stable computed form (meV/atom): 1119.1

No. 2
DFT (PBE) results for a geometry-optimized Pa4Sn2N structure.

abc: 4.648 4.648 8.669
angles: 74.45 74.45 90.00
Fractional coordinates of all 7 atoms:
Pa 0.155 0.155 0.691
Pa 0.500 0.000 0.000
Pa 0.000 0.500 0.000
Pa 0.845 0.845 0.309
Sn 0.353 0.353 0.294
Sn 0.647 0.647 0.706
N 0.000 0.000 0.000

Uncorrected formation energy (eV/atom): -0.4936

No. 3
DFT (PBE) results for a geometry-optimized Hg2IrSe structure.

abc: 5.371 5.371 6.438
angles: 73.14 73.14 33.52
Fractional coordinates of all 4 atoms:
Hg 0.012 0.012 0.969
Hg 0.803 0.803 0.651
Se 0.136 0.136 0.292
Ir 0.548 0.548 0.589

Uncorrected formation energy (eV/atom): 0.1033

No. 4
DFT (PBE) results for a geometry-optimized CsIn2Ge2 structure.

abc: 9.227 9.227 3.373
angles: 90.00 90.00 90.00
Fractional coordinates of all 10 atoms:
Cs 0.500 0.500 0.000
Cs 0.000 0.000 0.000
Ge 0.852 0.352 0.500
Ge 0.148 0.648 0.500
Ge 0.352 0.148 0.500
Ge 0.648 0.852 0.500
In 0.371 0.871 0.000
In 0.629 0.129 0.000
In 0.129 0.371 0.000
In 0.871 0.629 0.000

E_form (kcal/mol of atoms): 2.88
Offset from the most stable computed form (meV/atom): 176.1

No. 5
DFT (PBE) results for a geometry-optimized BeNi2Pb structure.

abc: 4.250 4.250 4.250
angles: 60.00 60.00 60.00
Fractional coordinates of all 4 atoms:
Ni 0.750 0.750 0.750
Ni 0.250 0.250 0.250
Be 0.000 0.000 0.000
Pb 0.500 0.500 0.500

E_form (kcal/mol of atoms): 4.90
Offset from the most stable computed form (meV/atom): 154.9

No. 6
DFT (PBE) results for a geometry-optimized LiPr2Pa structure.

abc: 5.478 5.478 5.478
angles: 60.00 60.00 60.00
Last column: magnetic moment on the atom in μB.
Fractional coordinates of all 4 atoms:
Pa 0.000 0.000 0.000  0.73
Li 0.500 0.500 0.500  0.00
Pr 0.750 0.750 0.750  0.08
Pr 0.250 0.250 0.250  0.08

E_form (kcal/mol of atoms): 10.98
Offset from the most stable computed form (meV/atom): 318.6

no.,calculated volume (Å³/atom)
1,19.79
2,24.76
3,24.43
4,28.72
5,13.57
6,29.06